VASP calculation (GGA-PBEsol) on an optimized crystal structure of LaAsPdSe2.

Calculated values
* raw formation energy: 608 meV/atom
* space group: No. 123

Unit cell a=5.5740 b=5.5740 c=5.6208 alpha=90.00 beta=90.00 gamma=90.00
With the nearest neighbours (Å) after each atom.
Sites, in units of the cell vectors:
As 0.0000 0.0000 0.5000  2 La 2.81
Se 0.0000 0.5000 0.0000  2 La 2.79
Se 0.5000 0.0000 0.0000  2 La 2.79
Pd 0.5000 0.5000 0.5000  4 As 3.94, 8 Se 3.96
La 0.0000 0.0000 0.0000  4 Se 2.79, 2 As 2.81

***

VASP calculation (GGA-PBEsol) on an optimized crystal structure of Cd2B2As.

Calculated values
* formation energy: 0.797 eV/atom
* space group: No. 12

Unit cell a=3.8795 b=3.8795 c=6.3875 alpha=114.38 beta=114.38 gamma=90.26
With the nearest neighbours (Å) after each atom.
Sites, in units of the cell vectors:
As 0.0000 0.0000 0.0000  2 B 2.25
B 0.3177 0.3177 0.8858  1 B 1.64
B 0.6823 0.6823 0.1142  1 B 1.64
Cd 0.2494 0.7506 0.5000  2 B 2.44
Cd 0.7506 0.2494 0.5000  2 B 2.44

***

VASP calculation (GGA-PBEsol) on an optimized crystal structure of RbRuW3.

Calculated values
* formation energy: 2.297 eV/atom
* space group: No. 221

Unit cell a=4.8023 b=4.8023 c=4.8023 alpha=90.00 beta=90.00 gamma=90.00
With the nearest neighbours (Å) after each atom.
Sites, in units of the cell vectors:
Ru 0.0000 0.0000 0.0000  6 W 2.40
Rb 0.5000 0.5000 0.5000  12 W 3.40
W 0.0000 0.5000 0.0000  2 Ru 2.40
W 0.0000 0.0000 0.5000  2 Ru 2.40
W 0.5000 0.0000 0.0000  2 Ru 2.40

***

VASP calculation (GGA-PBEsol) on an optimized crystal structure of CuTcSb2.

Calculated values
* raw formation energy: 729 meV/atom
* offset from the most stable computed form: 2.261 eV/f.u.
* space group: No. 216

Unit cell a=4.6973 b=4.6973 c=4.6973 alpha=60.00 beta=60.00 gamma=60.00
With the nearest neighbours (Å) after each atom.
Sites, in units of the cell vectors:
Cu 0.5000 0.5000 0.5000  4 Tc 2.88, 4 Sb 2.88
Sb 0.0000 0.0000 0.0000  4 Tc 2.88, 4 Sb 2.88
Sb 0.2500 0.2500 0.2500  4 Sb 2.88, 4 Cu 2.88
Tc 0.7500 0.7500 0.7500  4 Sb 2.88, 4 Cu 2.88

***

VASP calculation (GGA-PBEsol) on an optimized crystal structure of Ni2AsPb.

Calculated values
* formation energy: -0.056 eV/atom
* space group: No. 38

Unit cell a=3.2137 b=3.5062 c=6.1078 alpha=90.00 beta=105.25 gamma=90.00
With the nearest neighbours (Å) after each atom.
Sites, in units of the cell vectors:
As 0.7229 0.5000 0.4457  6 Ni 2.33-2.38
Ni 0.2358 0.0000 0.4716  4 As 2.38, 2 Ni 2.55, 1 Pb 2.66
Ni 0.0792 0.5000 0.1583  2 As 2.33, 2 Ni 2.55
Pb 0.4613 0.0000 0.9226  5 Ni 2.66-2.75

***

VASP calculation (GGA-PBEsol) on an optimized crystal structure of HfRu3F.

Calculated values
* raw formation energy: 1898 meV/atom
* space group: No. 221

Unit cell a=4.7511 b=4.7511 c=4.7511 alpha=90.00 beta=90.00 gamma=90.00
With the nearest neighbours (Å) after each atom.
Sites, in units of the cell vectors:
Ru 0.0000 0.5000 0.0000  2 Hf 2.38
Ru 0.0000 0.0000 0.5000  2 Hf 2.38
Ru 0.5000 0.0000 0.0000  2 Hf 2.38
Hf 0.0000 0.0000 0.0000  6 Ru 2.38
F 0.5000 0.5000 0.5000  12 Ru 3.36

***

VASP calculation (GGA-PBEsol) on an optimized crystal structure of TaCrPt2.

Calculated values
* formation energy: -0.489 eV/atom
* offset from the most stable computed form: 0.000 eV/f.u.
* space group: No. 123

Unit cell a=3.8245 b=3.8245 c=3.9806 alpha=90.00 beta=90.00 gamma=90.00
With the nearest neighbours (Å) after each atom.
Sites, in units of the cell vectors:
Cr 0.0000 0.0000 0.5000  4 Ta 2.70, 8 Pt 2.76
Pt 0.0000 0.5000 0.0000  4 Pt 2.70, 4 Cr 2.76, 4 Ta 2.76
Pt 0.5000 0.0000 0.0000  4 Pt 2.70, 4 Cr 2.76, 4 Ta 2.76
Ta 0.5000 0.5000 0.5000  4 Cr 2.70, 8 Pt 2.76

***

VASP calculation (GGA-PBEsol) on an optimized crystal structure of Li3Cu.

Calculated values
* formation energy: 0.070 eV/atom
* space group: No. 221

Unit cell a=3.8820 b=3.8820 c=3.8820 alpha=90.00 beta=90.00 gamma=90.00
With the nearest neighbours (Å) after each atom.
Sites, in units of the cell vectors:
Cu 0.0000 0.0000 0.0000  12 Li 2.74
Li 0.0000 0.5000 0.5000  8 Li 2.74, 4 Cu 2.74
Li 0.5000 0.0000 0.5000  8 Li 2.74, 4 Cu 2.74
Li 0.5000 0.5000 0.0000  8 Li 2.74, 4 Cu 2.74

***

VASP calculation (GGA-PBEsol) on an optimized crystal structure of LaAlTe2.

Calculated values
* raw formation energy: -758 meV/atom
* space group: No. 123

Unit cell a=3.9144 b=3.9144 c=7.1658 alpha=90.00 beta=90.00 gamma=90.00
With the nearest neighbours (Å) after each atom.
Sites, in units of the cell vectors:
Te 0.0000 0.0000 0.7510  4 Al 3.29, 4 La 3.30, 2 Te 3.57-3.60
Te 0.0000 0.0000 0.2490  4 Al 3.29, 4 La 3.30, 2 Te 3.57-3.60
Al 0.5000 0.5000 0.0000  8 Te 3.29, 2 La 3.58
La 0.5000 0.5000 0.5000  8 Te 3.30, 2 Al 3.58

***

VASP calculation (GGA-PBEsol) on an optimized crystal structure of AlAsS3.

Calculated values
* raw formation energy: 135 meV/atom
* offset from the most stable computed form: 0.000 eV/f.u.
* space group: No. 221

Unit cell a=4.5232 b=4.5232 c=4.5232 alpha=90.00 beta=90.00 gamma=90.00
With the nearest neighbours (Å) after each atom.
Sites, in units of the cell vectors:
As 0.5000 0.5000 0.5000  12 S 3.20
S 0.0000 0.5000 0.0000  2 Al 2.26
S 0.0000 0.0000 0.5000  2 Al 2.26
S 0.5000 0.0000 0.0000  2 Al 2.26
Al 0.0000 0.0000 0.0000  6 S 2.26

***

VASP calculation (GGA-PBEsol) on an optimized crystal structure of Li3HSe.

Calculated values
* VASP energy: -3.526 eV/atom
* space group: No. 221

Unit cell a=3.9011 b=3.9011 c=3.9011 alpha=90.00 beta=90.00 gamma=90.00
With the nearest neighbours (Å) after each atom.
Sites, in units of the cell vectors:
H 0.0000 0.0000 0.0000  6 Li 1.95
Se 0.5000 0.5000 0.5000  12 Li 2.76
Li 0.0000 0.5000 0.0000  2 H 1.95
Li 0.0000 0.0000 0.5000  2 H 1.95
Li 0.5000 0.0000 0.0000  2 H 1.95

***

VASP calculation (GGA-PBEsol) on an optimized crystal structure of Li3ZnRe.

Calculated values
* formation energy: 1.238 eV/atom
* space group: No. 221

Unit cell a=4.2873 b=4.2873 c=4.2873 alpha=90.00 beta=90.00 gamma=90.00
With the nearest neighbours (Å) after each atom.
Sites, in units of the cell vectors:
Re 0.5000 0.5000 0.5000  12 Li 3.03
Zn 0.0000 0.0000 0.0000  6 Li 2.14
Li 0.0000 0.5000 0.0000  2 Zn 2.14
Li 0.0000 0.0000 0.5000  2 Zn 2.14
Li 0.5000 0.0000 0.0000  2 Zn 2.14